VASP calculation (PBE) on a relaxed Nd8Ni3OsI4 crystal.

The structure in CIF format:
```
data_Nd8Ni3OsI4
_symmetry_space_group_name_H-M 'R -3 m'
_symmetry_Int_Tables_number 166
_symmetry_space_group_name_Hall '-R 3 2"'
_cell_length_a 8.2888
_cell_length_b 8.2888
_cell_length_c 24.3699
_cell_angle_alpha 90.00
_cell_angle_beta 90.00
_cell_angle_gamma 120.00
loop_
_atom_site_label
_atom_site_fract_x
_atom_site_fract_y
_atom_site_fract_z
Nd1 0.0000 0.0000 0.2267
Nd2 0.0016 0.5008 0.2284
Ni1 0.0000 0.5000 0.5000
Os1 0.0000 0.0000 0.5000
I1 0.0000 0.0000 0.0000
I2 0.0000 0.5000 0.0000
```

Summary:
- Raw total energy: -5.216 eV per atom
- Formation energy without anion corrections: -0.66 eV/atom